[1]
{"formula": "LiZrCuTe3", "functional": "PBE", "state": "optimized geometry", "lattice": [[1.973, -7.018, 0.000], [1.973, 7.018, 0.000], [0.000, 0.000, 10.746]], "species": ["Li", "Li", "Zr", "Zr", "Cu", "Cu", "Te", "Te", "Te", "Te", "Te", "Te"], "frac_coords": [[0.213, 0.787, 0.750], [0.787, 0.213, 0.250], [0.000, 0.000, 0.000], [0.000, 0.000, 0.500], [0.473, 0.527, 0.250], [0.527, 0.473, 0.750], [0.095, 0.905, 0.250], [0.355, 0.645, 0.063], [0.355, 0.645, 0.437], [0.645, 0.355, 0.563], [0.645, 0.355, 0.937], [0.905, 0.095, 0.750]], "de_polymorph_ev_per_atom": 0.015}

[2]
{"formula": "LiZrCuTe3", "functional": "PBE", "state": "optimized geometry", "lattice": [[8.012, 0.000, 0.000], [0.000, 3.994, 0.000], [-2.678, 0.000, 9.533]], "species": ["Li", "Li", "Zr", "Zr", "Cu", "Cu", "Te", "Te", "Te", "Te", "Te", "Te"], "frac_coords": [[0.226, 0.250, 0.205], [0.774, 0.750, 0.795], [0.198, 0.750, 0.682], [0.802, 0.250, 0.318], [0.416, 0.250, 0.910], [0.584, 0.750, 0.090], [0.083, 0.750, 0.363], [0.232, 0.750, 0.976], [0.445, 0.250, 0.654], [0.555, 0.750, 0.346], [0.768, 0.250, 0.024], [0.917, 0.250, 0.637]], "de_polymorph_ev_per_atom": 0.003}